# 1
# Nd2Al4GaCu3

A geometry-optimized Nd2Al4GaCu3 structure (PBE, the Alexandria database). Values from VASP.

Cell and atoms, written as Quantum ESPRESSO input:
```
&SYSTEM
  ibrav = 0, nat = 10, ntyp = 4
/
ATOMIC_SPECIES
Nd 144.24 Nd.upf
Al 26.98 Al.upf
Ga 69.72 Ga.upf
Cu 63.55 Cu.upf
ATOMIC_POSITIONS angstrom
Nd 2.127 0.000 2.558
Nd 0.000 2.127 7.716
Al 2.127 2.127 0.000
Al 0.000 0.000 0.000
Al 2.127 0.000 6.562
Al 0.000 2.127 3.712
Ga 2.127 2.127 5.137
Cu 0.000 0.000 5.137
Cu 2.127 0.000 8.978
Cu 0.000 2.127 1.296
CELL_PARAMETERS angstrom
4.254 0.000 0.000
0.000 4.254 0.000
0.000 0.000 10.274
```

# 2
# PuAl3Ir2

A geometry-optimized PuAl3Ir2 structure (PBE, the Alexandria database). Values from VASP.

Cell and atoms, written as Quantum ESPRESSO input:
```
&SYSTEM
  ibrav = 0, nat = 18, ntyp = 3
/
ATOMIC_SPECIES
Pu 244.00 Pu.upf
Al 26.98 Al.upf
Ir 192.22 Ir.upf
ATOMIC_POSITIONS angstrom
Pu 4.100 1.019 5.326
Pu 0.612 -3.920 4.293
Pu 0.000 0.000 0.000
Al 1.938 1.052 2.500
Al 2.774 -3.953 7.119
Al 2.534 -1.446 3.353
Al 2.178 -1.455 6.266
Al -0.278 -0.934 3.043
Al 4.989 -1.967 6.576
Al 1.022 2.563 4.637
Al 0.850 -4.982 1.258
Al 3.862 2.081 8.361
Ir 1.057 -2.382 1.452
Ir 3.654 -0.519 8.167
Ir 2.148 -6.395 2.995
Ir 2.564 3.494 6.624
Ir 3.632 -3.057 4.836
Ir 1.079 0.156 4.783
CELL_PARAMETERS angstrom
-3.260 0.074 2.495
2.668 -8.028 0.345
5.303 5.053 6.779
```

| no. | energy relative to the elements (kJ/mol of atoms) |
| --- | --- |
| 1 | -43.6 |
| 2 | -65.7 |